Entry from Alexandria via LeMat-Bulk: crystalline BaCdP2S8 at its relaxed geometry (GGA-PBE).

It has space group P-3 (No. 147), with a = 5.9376 Å, b = 5.9376 Å, c = 9.4979 Å, α = 90.00°, β = 90.00° and γ = 120.00°. Symmetry generates all atoms from Ba at (0.0000, 0.0000, 0.0000), Cd at (0.0000, 0.0000, 0.5000), P at (0.3333, 0.6667, 0.7549), S at (0.0022, 0.6604, 0.3085) and S at (0.3333, 0.6667, 0.9689).

The density of states at the Fermi level is 11.52 states/eV per cell. The uncorrected formation energy is -0.4665 eV per atom. The total energy is -4.356 eV/atom. The magnetization is 0.14 μB/atom.

Entry from Alexandria via LeMat-Bulk: crystalline LiMg4AgAu2 at its relaxed geometry (GGA-PBE).

It has space group R-3m (No. 166, hexagonal axes), with a = 4.6599 Å, b = 4.6599 Å, c = 23.0164 Å, α = 90.00°, β = 90.00° and γ = 120.00°. Symmetry generates all atoms from Li at (0.0000, 0.0000, 0.0000), Mg at (0.0000, 0.0000, 0.1270), Mg at (0.0000, 0.0000, 0.3761), Ag at (0.0000, 0.0000, 0.5000) and Au at (0.0000, 0.0000, 0.2540).

The density of states at the Fermi level is 6.55 states/eV per cell. The value obtained for the formation energy is -356 kJ/mol of formula units. The total energy is -2.673 eV/atom. The magnetization is 0.00 μB/atom.

Entry from Alexandria via LeMat-Bulk: crystalline Hf2Sb2As at its relaxed geometry (GGA-PBE).

It has space group I4/mmm (No. 139), with a = 5.344 Å, b = 5.344 Å, c = 9.068 Å, α = 90.00°, β = 90.00° and γ = 90.00°. Symmetry generates all atoms from Hf at (0.000, 0.500, 0.250), Sb at (0.000, 0.000, 0.152) and As at (0.000, 0.000, 0.500).

Its polymorph energy (0 for the lowest one) is 470 meV/atom. The density of states at the Fermi level is 6.88 states/eV per cell. The uncorrected formation energy is 0.0460 eV per atom. The total energy is -6.514 eV/atom. The magnetization is 0.00 μB/atom.

Entry from Alexandria via LeMat-Bulk: crystalline Mg2CrFe at its relaxed geometry (GGA-PBE).

It has space group R-3m (No. 166, hexagonal axes), with a = 2.7553 Å, b = 2.7553 Å, c = 27.7839 Å, α = 90.00°, β = 90.00° and γ = 120.00°. Symmetry generates all atoms from Mg at (0.0000, 0.0000, 0.2478), Cr at (0.0000, 0.0000, 0.0000) and Fe at (0.0000, 0.0000, 0.5000).

Its polymorph energy (0 for the lowest one) is 321 meV/atom. The density of states at the Fermi level is 11.51 states/eV per cell. The value obtained for the formation energy is 199 kJ/mol of formula units. The total energy is -4.804 eV/atom. The magnetization is 0.90 μB/atom.

Entry from Alexandria via LeMat-Bulk: crystalline Cs4AcNp3S12 at its relaxed geometry (GGA-PBE).

It has space group Im-3m (No. 229), with a = 10.694 Å, b = 10.694 Å, c = 10.694 Å, α = 90.00°, β = 90.00° and γ = 90.00°. Symmetry generates all atoms from Cs at (0.250, 0.250, 0.250), Ac at (0.000, 0.000, 0.000), Np at (0.000, 0.000, 0.500), S at (0.000, 0.000, 0.269) and S at (0.000, 0.250, 0.500).

The density of states at the Fermi level is 21.28 states/eV per cell. The uncorrected formation energy is -1.2537 eV per atom. The total energy is -6.047 eV/atom. The magnetization is 0.20 μB/atom.

Entry from Alexandria via LeMat-Bulk: crystalline BaZn3Ni2 at its relaxed geometry (GGA-PBE).

It has space group Cmcm (No. 63), with a = 10.562 Å, b = 7.978 Å, c = 5.242 Å, α = 90.00°, β = 90.00° and γ = 90.00°. Symmetry generates all atoms from Ba at (0.000, 0.161, 0.250), Zn at (0.000, 0.432, 0.750), Zn at (0.203, 0.229, 0.750) and Ni at (0.196, 0.500, 0.000).

The density of states at the Fermi level is 11.75 states/eV per cell. The value obtained for the formation energy is -132 kJ/mol of formula units. The total energy is -3.112 eV/atom. The magnetization is 0.00 μB/atom.

Entry from Alexandria via LeMat-Bulk: crystalline TiNiH2 at its relaxed geometry (GGA-PBE).

It has space group Pna2_1 (No. 33), with a = 5.937 Å, b = 5.371 Å, c = 4.122 Å, α = 90.00°, β = 90.00° and γ = 90.00°. Symmetry generates all atoms from Ti at (0.150, 0.118, 0.000), Ni at (0.063, 0.640, 0.013), H at (0.045, 0.627, 0.622) and H at (0.131, 0.097, 0.506).

Its polymorph energy (0 for the lowest one) is 0 meV/atom. The density of states at the Fermi level is 10.02 states/eV per cell. The total energy is -5.351 eV/atom. The magnetization is 0.00 μB/atom.

Entry from Alexandria via LeMat-Bulk: crystalline Re2HgCl at its relaxed geometry (GGA-PBE).

It has space group P4/mmm (No. 123), with a = 2.777 Å, b = 2.777 Å, c = 8.750 Å, α = 90.00°, β = 90.00° and γ = 90.00°. Symmetry generates all atoms from Re at (0.000, 0.000, 0.238), Hg at (0.500, 0.500, 0.500) and Cl at (0.500, 0.500, 0.000).

Its polymorph energy (0 for the lowest one) is 1243 meV/atom. The density of states at the Fermi level is 5.02 states/eV per cell. The uncorrected formation energy is 1.4253 eV per atom. The total energy is -5.336 eV/atom. The magnetization is 0.00 μB/atom.